Entry 1:
VASP calculation (GGA-PBE) on a relaxed structure of AcHoSn6.

a = 4.894 Å, b = 4.894 Å, c = 9.324 Å
α = 90.00°, β = 90.00°, γ = 90.00°
Space group P4/mmm (No. 123)
One atom of each set of equivalent atoms:
Ac1 0.000 0.000 0.000 [1 per cell]
Ho1 0.000 0.000 0.500 [1 per cell]
Sn1 0.000 0.500 0.263 [4 per cell]
Sn2 0.500 0.500 0.000 [1 per cell]
Sn3 0.500 0.500 0.500 [1 per cell]

Computed properties:
energy relative to the elements	-457	meV/atom


Entry 2:
VASP calculation (GGA-PBE) on a relaxed structure of Th8TcTe4As3.

a = 8.6445 Å, b = 8.6445 Å, c = 22.0408 Å
α = 90.00°, β = 90.00°, γ = 120.00°
Space group R-3m (No. 166, hexagonal axes)
One atom of each set of equivalent atoms:
Th1 0.0000 0.0000 0.2397 [6 per cell]
Th2 0.0163 0.5081 0.2372 [18 per cell]
Tc1 0.0000 0.0000 0.5000 [3 per cell]
Te1 0.0000 0.0000 0.0000 [3 per cell]
Te2 0.0000 0.5000 0.0000 [9 per cell]
As1 0.0000 0.5000 0.5000 [9 per cell]

Computed properties:
uncorrected formation energy	-1109	meV/atom


Entry 3:
VASP calculation (GGA-PBE) on a relaxed structure of KCo3Ag.

a = 4.480 Å, b = 4.480 Å, c = 4.480 Å
α = 90.00°, β = 90.00°, γ = 90.00°
Space group Pm-3m (No. 221)
One atom of each set of equivalent atoms:
K1 0.000 0.000 0.000 [1 per cell]
Co1 0.000 0.000 0.500 [3 per cell]
Ag1 0.500 0.500 0.500 [1 per cell]

Computed properties:
energy relative to the lowest polymorph listed for this composition	887	meV per atom
energy relative to the elements	2351	meV/atom


Entry 4:
VASP calculation (GGA-PBE) on a relaxed structure of Zn2InBr.

a = 7.514 Å, b = 7.514 Å, c = 7.514 Å
α = 90.00°, β = 90.00°, γ = 90.00°
Space group F-43m (No. 216)
One atom of each set of equivalent atoms:
Zn1 0.000 0.000 0.000 [4 per cell]
Zn2 0.250 0.250 0.250 [4 per cell]
In1 0.250 0.250 0.750 [4 per cell]
Br1 0.000 0.000 0.500 [4 per cell]

Computed properties:
energy relative to the lowest polymorph listed for this composition	227	meV per atom
uncorrected formation energy	82	meV/atom


Entry 5:
VASP calculation (GGA-PBE) on a relaxed structure of Tb8Te3AsSe3.

a = 8.3397 Å, b = 8.3397 Å, c = 20.9731 Å
α = 90.00°, β = 90.00°, γ = 120.00°
Space group R-3m (No. 166, hexagonal axes)
One atom of each set of equivalent atoms:
Tb1 0.0000 0.0000 0.2383 [6 per cell]
Tb2 0.0021 0.5010 0.2407 [18 per cell]
Te1 0.0000 0.5000 0.0000 [9 per cell]
As1 0.0000 0.0000 0.5000 [3 per cell]
Se1 0.0000 0.5000 0.5000 [9 per cell]

Computed properties:
uncorrected formation energy	-1431	meV/atom


Entry 6:
VASP calculation (GGA-PBE) on a relaxed structure of ZnGa2CuBr.

a = 5.697 Å, b = 5.697 Å, c = 4.693 Å
α = 90.00°, β = 90.00°, γ = 90.00°
Space group P4/mmm (No. 123)
One atom of each set of equivalent atoms:
Zn1 0.000 0.000 0.000 [1 per cell]
Ga1 0.000 0.500 0.500 [2 per cell]
Cu1 0.500 0.500 0.000 [1 per cell]
Br1 0.500 0.500 0.500 [1 per cell]

Computed properties:
uncorrected formation energy	641	meV/atom


no.,size of the total moment (μB/cell)
1,0.00
2,0.00
3,4.66
4,0.00
5,0.00
6,0.00